(1)
This record from Alexandria via LeMat-Bulk describes a relaxed Dy6Sc2Ag crystal. The functional is PBE-GGA.

Cell lengths 5.2120, 9.9169, 9.9175 Å; angles 90.00, 90.01, 90.00 degrees
Fractional coordinates of all 18 atoms:
Dy 0.0000 0.0374 0.1823
Dy 0.0000 0.6823 0.5379
Dy 0.0000 0.6249 0.8754
Dy 0.5000 0.1249 0.6247
Dy 0.5000 0.1823 0.9621
Dy 0.5000 0.5374 0.3177
Dy 0.0000 0.9626 0.8177
Dy 0.0000 0.3177 0.4621
Dy 0.0000 0.3751 0.1246
Dy 0.5000 0.8751 0.3753
Dy 0.5000 0.8177 0.0379
Dy 0.5000 0.4626 0.6823
Sc 0.0000 0.2901 0.7896
Sc 0.5000 0.7901 0.7104
Sc 0.5000 0.2099 0.2896
Sc 0.0000 0.7099 0.2104
Ag 0.5000 0.5000 0.0000
Ag 0.0000 0.0000 0.5000

Calculated values
SG	P4_2/mnm, No. 136
DFT formation energy	0.02	eV/atom

***

(2)
This record from Alexandria via LeMat-Bulk describes a relaxed Dy5ScAg4 crystal. The functional is PBE-GGA.

Cell lengths 3.6004, 3.6004, 19.1965 Å; angles 90.00, 90.00, 90.00 degrees
Fractional coordinates of all 10 atoms:
Dy 0.5000 0.5000 0.1151
Dy 0.5000 0.5000 0.3072
Dy 0.5000 0.5000 0.5000
Dy 0.5000 0.5000 0.6928
Dy 0.5000 0.5000 0.8849
Sc 0.0000 0.0000 0.0000
Ag 0.0000 0.0000 0.2106
Ag 0.0000 0.0000 0.4046
Ag 0.0000 0.0000 0.5954
Ag 0.0000 0.0000 0.7894

Calculated values
SG	P4/mmm, No. 123
DFT formation energy	-0.24	eV/atom

***

(3)
This record from Alexandria via LeMat-Bulk describes a relaxed Dy3ScAg2 crystal. The functional is PBE-GGA.

Cell lengths 3.5985, 3.5985, 11.7843 Å; angles 90.00, 90.00, 90.00 degrees
Fractional coordinates of all 6 atoms:
Dy 0.0000 0.0000 0.0000
Dy 0.0000 0.0000 0.6875
Dy 0.0000 0.0000 0.3125
Sc 0.5000 0.5000 0.5000
Ag 0.5000 0.5000 0.8421
Ag 0.5000 0.5000 0.1579

Calculated values
SG	P4/mmm, No. 123
DFT formation energy	-0.19	eV/atom

***

(4)
This record from Alexandria via LeMat-Bulk describes a relaxed Dy3ScAg4 crystal. The functional is PBE-GGA.

Cell lengths 3.5864, 3.5864, 14.3427 Å; angles 90.00, 90.00, 90.00 degrees
Fractional coordinates of all 8 atoms:
Sc 0.5000 0.5000 0.0000
Ag 0.0000 0.0000 0.8894
Ag 0.0000 0.0000 0.1106
Ag 0.0000 0.0000 0.3717
Ag 0.0000 0.0000 0.6283
Dy 0.5000 0.5000 0.2426
Dy 0.5000 0.5000 0.5000
Dy 0.5000 0.5000 0.7574

Calculated values
SG	P4/mmm, No. 123
DFT formation energy	-0.30	eV/atom

***

(5)
This record from Alexandria via LeMat-Bulk describes a relaxed DyScAg crystal. The functional is PBE-GGA.

Cell lengths 3.5563, 4.8860, 4.8860 Å; angles 120.00, 90.00, 90.00 degrees
Fractional coordinates of all 3 atoms:
Sc 0.1012 0.0000 0.0000
Ag 0.2636 0.3333 0.6667
Dy 0.6352 0.6667 0.3333

Calculated values
SG	P3m1, No. 156
DFT formation energy	-0.04	eV/atom

***

(6)
This record from Alexandria via LeMat-Bulk describes a relaxed DySc5Ag4 crystal. The functional is PBE-GGA.

Cell lengths 3.4162, 3.4162, 18.6537 Å; angles 90.00, 90.00, 90.00 degrees
Fractional coordinates of all 10 atoms:
Dy 0.0000 0.0000 0.0000
Sc 0.5000 0.5000 0.1273
Sc 0.5000 0.5000 0.3131
Sc 0.5000 0.5000 0.5000
Sc 0.5000 0.5000 0.6869
Sc 0.5000 0.5000 0.8727
Ag 0.0000 0.0000 0.2199
Ag 0.0000 0.0000 0.4075
Ag 0.0000 0.0000 0.5925
Ag 0.0000 0.0000 0.7801

Calculated values
SG	P4/mmm, No. 123
DFT formation energy	-0.20	eV/atom

***

(7)
This record from Alexandria via LeMat-Bulk describes a relaxed Dy3Sc2Ag3 crystal. The functional is PBE-GGA.

Cell lengths 3.5622, 5.1400, 11.0149 Å; angles 103.49, 99.31, 90.00 degrees
Fractional coordinates of all 8 atoms:
Dy 0.6242 0.6242 0.2485
Dy 0.3758 0.3758 0.7515
Dy 0.5000 0.0000 0.0000
Sc 0.7342 0.2342 0.4683
Sc 0.2658 0.7658 0.5317
Ag 0.1241 0.1241 0.2481
Ag 0.0000 0.5000 0.0000
Ag 0.8759 0.8759 0.7519

Calculated values
SG	Immm, No. 71
DFT formation energy	-0.22	eV/atom

***

(8)
This record from Alexandria via LeMat-Bulk describes a relaxed Dy4ScAg crystal. The functional is PBE-GGA.

Cell lengths 3.5052, 3.5052, 13.6220 Å; angles 90.00, 90.00, 90.00 degrees
Fractional coordinates of all 6 atoms:
Dy 0.5000 0.5000 0.8308
Dy 0.5000 0.5000 0.1692
Dy 0.0000 0.0000 0.6429
Dy 0.0000 0.0000 0.3571
Sc 0.0000 0.0000 0.0000
Ag 0.5000 0.5000 0.5000

Calculated values
SG	P4/mmm, No. 123
DFT formation energy	-0.07	eV/atom

***

(9)
This record from Alexandria via LeMat-Bulk describes a relaxed Dy2ScAg crystal. The functional is PBE-GGA.

Cell lengths 3.5188, 3.5188, 8.4627 Å; angles 90.00, 90.00, 90.00 degrees
Fractional coordinates of all 4 atoms:
Sc 0.5000 0.5000 0.5000
Ag 0.5000 0.5000 0.0000
Dy 0.0000 0.0000 0.7709
Dy 0.0000 0.0000 0.2291

Calculated values
SG	P4/mmm, No. 123
DFT formation energy	-0.11	eV/atom

***

(10)
This record from Alexandria via LeMat-Bulk describes a relaxed DySc3Ag crystal. The functional is PBE-GGA.

Cell lengths 6.4198, 8.5628, 9.0953 Å; angles 90.00, 90.00, 90.00 degrees
Fractional coordinates of all 20 atoms:
Dy 0.2778 0.6459 0.7500
Dy 0.2222 0.1459 0.2500
Dy 0.7222 0.3541 0.2500
Dy 0.7778 0.8541 0.7500
Sc 0.8913 0.1694 0.9481
Sc 0.6087 0.6694 0.4481
Sc 0.6087 0.6694 0.0519
Sc 0.1087 0.8306 0.4481
Sc 0.1087 0.8306 0.0519
Sc 0.3913 0.3306 0.5519
Sc 0.3913 0.3306 0.9481
Sc 0.8913 0.1694 0.5519
Sc 0.2403 0.0236 0.7500
Sc 0.2597 0.5236 0.2500
Sc 0.7597 0.9764 0.2500
Sc 0.7403 0.4764 0.7500
Ag 0.0000 0.5000 0.0000
Ag 0.5000 0.0000 0.5000
Ag 0.5000 0.0000 0.0000
Ag 0.0000 0.5000 0.5000

Calculated values
SG	Pnma, No. 62
DFT formation energy	-0.01	eV/atom

***

(11)
This record from Alexandria via LeMat-Bulk describes a relaxed DySc2Ag6 crystal. The functional is PBE-GGA.

Cell lengths 5.1580, 8.9749, 8.9749 Å; angles 119.39, 90.04, 90.04 degrees
Fractional coordinates of all 18 atoms:
Dy 0.2500 0.2499 0.7501
Dy 0.7500 0.7501 0.2499
Sc 0.4999 0.6659 0.8340
Sc 0.0001 0.1660 0.3341
Sc 0.5001 0.3341 0.1660
Sc 0.9999 0.8340 0.6659
Ag 0.4946 0.6650 0.5036
Ag 0.0054 0.4964 0.3350
Ag 0.5054 0.3350 0.4964
Ag 0.9946 0.5036 0.6650
Ag 0.2461 0.9141 0.4140
Ag 0.2539 0.5860 0.0859
Ag 0.7539 0.0859 0.5860
Ag 0.7461 0.4140 0.9141
Ag 0.0053 0.8350 0.9962
Ag 0.4947 0.0038 0.1650
Ag 0.9947 0.1650 0.0038
Ag 0.5053 0.9962 0.8350

Calculated values
SG	C2/m, No. 12
DFT formation energy	-0.23	eV/atom

***

(12)
This record from Alexandria via LeMat-Bulk describes a relaxed Dy2Sc3Ag2 crystal. The functional is PBE-GGA.

Cell lengths 4.8167, 5.7014, 7.6492 Å; angles 111.51, 90.00, 114.99 degrees
Fractional coordinates of all 7 atoms:
Dy 0.8726 0.7452 0.2328
Dy 0.1274 0.2548 0.7672
Sc 0.5000 0.0000 0.0000
Sc 0.6349 0.2699 0.4525
Sc 0.3651 0.7301 0.5475
Ag 0.8480 0.6960 0.8153
Ag 0.1520 0.3040 0.1847

Calculated values
SG	C2/m, No. 12
DFT formation energy	-0.10	eV/atom

***

(13)
This record from Alexandria via LeMat-Bulk describes a relaxed DySc2Ag3Se6 crystal. The functional is PBE-GGA.

Cell lengths 6.9808, 6.9808, 6.9419 Å; angles 99.51, 99.51, 120.06 degrees
Fractional coordinates of all 12 atoms:
Dy 0.0000 0.0000 0.0000
Sc 0.3318 0.6682 0.0000
Sc 0.6682 0.3318 0.0000
Ag 0.1599 0.8401 0.5000
Ag 0.8401 0.1599 0.5000
Ag 0.5000 0.5000 0.5000
Se 0.9226 0.5759 0.7648
Se 0.7305 0.7305 0.2354
Se 0.0774 0.4241 0.2352
Se 0.5759 0.9226 0.7648
Se 0.2695 0.2695 0.7646
Se 0.4241 0.0774 0.2352

Calculated values
SG	C2/m, No. 12
final energy	-4.975	eV/atom

***

(14)
This record from Alexandria via LeMat-Bulk describes a relaxed DyScAgSn crystal. The functional is PBE-GGA.

Cell lengths 5.0900, 5.0900, 5.0900 Å; angles 60.00, 60.00, 60.00 degrees
Fractional coordinates of all 4 atoms:
Sc 0.5000 0.5000 0.5000
Sn 0.2500 0.2500 0.2500
Ag 0.7500 0.7500 0.7500
Dy 0.0000 0.0000 0.0000

Calculated values
SG	F-43m, No. 216
DFT formation energy	-0.48	eV/atom

***

(15)
This record from Alexandria via LeMat-Bulk describes a relaxed TbDyScAg crystal. The functional is PBE-GGA.

Cell lengths 5.2687, 5.2687, 5.2687 Å; angles 60.00, 60.00, 60.00 degrees
Fractional coordinates of all 4 atoms:
Sc 0.7500 0.7500 0.7500
Tb 0.0000 0.0000 0.0000
Ag 0.2500 0.2500 0.2500
Dy 0.5000 0.5000 0.5000

Calculated values
SG	F-43m, No. 216
DFT formation energy	0.03	eV/atom

***

(16)
This record from Alexandria via LeMat-Bulk describes a relaxed TbDyScAg crystal. The functional is PBE-GGA.

Cell lengths 3.5330, 3.5330, 8.4430 Å; angles 90.00, 90.00, 90.00 degrees
Fractional coordinates of all 4 atoms:
Tb 0.5000 0.5000 0.8011
Dy 0.5000 0.5000 0.3421
Sc 0.0000 0.0000 0.0723
Ag 0.0000 0.0000 0.5692

Calculated values
SG	P4mm, No. 99
DFT formation energy	-0.11	eV/atom

***

(17)
This record from Alexandria via LeMat-Bulk describes a relaxed Dy2ScAg3Te6 crystal. The functional is PBE-GGA.

Cell lengths 4.3074, 8.4446, 9.9810 Å; angles 103.37, 102.46, 90.00 degrees
Fractional coordinates of all 12 atoms:
Dy 0.8269 0.6971 0.6538
Dy 0.1731 0.3029 0.3462
Sc 0.5000 0.0000 0.0000
Ag 0.5000 0.5000 0.0000
Ag 0.7981 0.2080 0.5963
Ag 0.2019 0.7920 0.4037
Te 0.3444 0.9671 0.6888
Te 0.6618 0.5637 0.3236
Te 0.6556 0.0329 0.3112
Te 0.0108 0.2463 0.0216
Te 0.9892 0.7537 0.9784
Te 0.3382 0.4363 0.6764

Calculated values
SG	C2/m, No. 12
final energy	-4.378	eV/atom

***

(18)
This record from Alexandria via LeMat-Bulk describes a relaxed DyThScAg crystal. The functional is PBE-GGA.

Cell lengths 3.5679, 3.5679, 8.1048 Å; angles 90.00, 90.00, 90.00 degrees
Fractional coordinates of all 4 atoms:
Dy 0.5000 0.5000 0.7877
Th 0.0000 0.0000 0.0851
Sc 0.5000 0.5000 0.3577
Ag 0.0000 0.0000 0.5543

Calculated values
SG	P4mm, No. 99
DFT formation energy	-0.13	eV/atom

***

(19)
This record from Alexandria via LeMat-Bulk describes a relaxed DySc2Tl2Ag2 crystal. The functional is PBE-GGA.

Cell lengths 4.7640, 4.7640, 8.7867 Å; angles 74.27, 74.27, 60.00 degrees
Fractional coordinates of all 7 atoms:
Dy 0.0000 0.0000 0.0000
Sc 0.1358 0.1358 0.5925
Sc 0.8642 0.8642 0.4075
Tl 0.7364 0.7364 0.7907
Tl 0.2636 0.2636 0.2093
Ag 0.5594 0.5594 0.3217
Ag 0.4406 0.4406 0.6783

Calculated values
SG	R-3m, No. 166
DFT formation energy	-0.16	eV/atom

***

(20)
This record from Alexandria via LeMat-Bulk describes a relaxed DyScTlAg crystal. The functional is PBE-GGA.

Cell lengths 5.1263, 5.1263, 5.1263 Å; angles 60.00, 60.00, 60.00 degrees
Fractional coordinates of all 4 atoms:
Sc 0.5000 0.5000 0.5000
Tl 0.2500 0.2500 0.2500
Ag 0.7500 0.7500 0.7500
Dy 0.0000 0.0000 0.0000

Calculated values
SG	F-43m, No. 216
DFT formation energy	-0.31	eV/atom

***

(21)
This record from Alexandria via LeMat-Bulk describes a relaxed DyTmScAg crystal. The functional is PBE-GGA.

Cell lengths 5.2332, 5.2332, 5.2332 Å; angles 60.00, 60.00, 60.00 degrees
Fractional coordinates of all 4 atoms:
Sc 0.0000 0.0000 0.0000
Tm 0.2500 0.2500 0.2500
Ag 0.5000 0.5000 0.5000
Dy 0.7500 0.7500 0.7500

Calculated values
SG	F-43m, No. 216
DFT formation energy	0.03	eV/atom

***

(22)
This record from Alexandria via LeMat-Bulk describes a relaxed DyTmScAg crystal. The functional is PBE-GGA.

Cell lengths 3.4866, 3.4866, 8.4806 Å; angles 90.00, 90.00, 90.00 degrees
Fractional coordinates of all 4 atoms:
Dy 0.5000 0.5000 0.8006
Tm 0.5000 0.5000 0.3442
Sc 0.0000 0.0000 0.0742
Ag 0.0000 0.0000 0.5657

Calculated values
SG	P4mm, No. 99
DFT formation energy	-0.12	eV/atom

***

(23)
This record from Alexandria via LeMat-Bulk describes a relaxed DyAgSe2 crystal. The functional is PBE-GGA.

Cell lengths 4.2839, 6.8120, 13.8183 Å; angles 90.00, 90.00, 90.00 degrees
Fractional coordinates of all 16 atoms:
Dy 0.2815 0.7052 0.6270
Dy 0.7815 0.7948 0.3730
Dy 0.7185 0.2052 0.8730
Dy 0.2185 0.2948 0.1270
Ag 0.5064 0.7063 0.8721
Ag 0.0064 0.7937 0.1279
Ag 0.4936 0.2063 0.6279
Ag 0.9936 0.2937 0.3721
Se 0.7785 0.9104 0.7258
Se 0.2785 0.5896 0.2742
Se 0.2215 0.4104 0.7742
Se 0.7215 0.0896 0.2258
Se 0.7732 0.5082 0.5262
Se 0.2732 0.9918 0.4738
Se 0.2268 0.0082 0.9738
Se 0.7268 0.4918 0.0262

Calculated values
SG	P2_12_12_1, No. 19
final energy	-4.814	eV/atom

***

(24)
This record from Alexandria via LeMat-Bulk describes a relaxed DyAg2Se3 crystal. The functional is PBE-GGA.

Cell lengths 5.2712, 7.7868, 7.7868 Å; angles 113.69, 90.00, 90.00 degrees
Fractional coordinates of all 12 atoms:
Dy 0.2500 0.2607 0.7393
Dy 0.7500 0.7393 0.2607
Ag 0.0000 0.2139 0.2139
Ag 0.5000 0.2139 0.2139
Ag 0.0000 0.7861 0.7861
Ag 0.5000 0.7861 0.7861
Se 0.7500 0.1310 0.8690
Se 0.7500 0.1409 0.4725
Se 0.2500 0.4725 0.1409
Se 0.7500 0.5275 0.8591
Se 0.2500 0.8591 0.5275
Se 0.2500 0.8690 0.1310

Calculated values
SG	Cmcm, No. 63
final energy	-4.021	eV/atom